No. 1
The following is a DFT calculation (GGA-PBE) of a relaxed ZnTeAu2 crystal.

Cell lengths 4.3359, 4.5457, 4.5455 Å; angles 77.80, 90.00, 90.00 degrees
Element x y z (fractional)
Au: 0.5000 0.2325 0.2324
Au: 0.0000 0.9867 0.9866
Te: 0.0000 0.5029 0.5027
Zn: 0.5000 0.7779 0.7784

Summary:
energy relative to the elements, uncorrected = -0.002 eV per atom
space group = Amm2
N(E_F) = 0.218 states/eV per atom
energy relative to the lowest polymorph listed for this composition = 0.074 eV per atom



No. 2
The following is a DFT calculation (GGA-PBE) of a relaxed Ba2Cu crystal.

Cell lengths 8.0871, 8.0871, 8.0871 Å; angles 90.00, 90.00, 90.00 degrees
Element x y z (fractional)
Ba: 0.1663 0.8337 0.6663
Ba: 0.3337 0.1663 0.1663
Ba: 0.8337 0.3337 0.8337
Ba: 0.8337 0.1663 0.3337
Ba: 0.1663 0.6663 0.1663
Ba: 0.6663 0.6663 0.3337
Ba: 0.6663 0.8337 0.8337
Ba: 0.3337 0.3337 0.6663
Cu: 0.0000 0.5000 0.5000
Cu: 0.5000 0.0000 0.5000
Cu: 0.0000 0.0000 0.0000
Cu: 0.5000 0.5000 0.0000

Summary:
space group = Pa-3
calculated formation energy = 0.050 eV/atom
N(E_F) = 1.161 states/eV per atom



No. 3
The following is a DFT calculation (GGA-PBE) of a relaxed La2MnRh crystal.

Cell lengths 3.9145, 4.3916, 6.2549 Å; angles 69.44, 90.00, 90.00 degrees
Last column: magnetic moment on the atom in μB.
Element x y z (fractional)
La: 0.5000 0.2741 0.3275  0.23
La: 0.0000 0.9885 0.8978  0.13
Mn: 0.0000 0.6911 0.4930  -3.29
Rh: 0.5000 0.5462 0.7817  -0.15

Summary:
space group = Amm2
calculated formation energy = -0.251 eV/atom
N(E_F) = 0.937 states/eV per atom
energy relative to the lowest polymorph listed for this composition = 0.000 eV per atom



No. 4
The following is a DFT calculation (GGA-PBE) of a relaxed Nd5Sm8Ho crystal.

Cell lengths 8.5964, 8.5964, 8.5964 Å; angles 110.79, 106.86, 110.79 degrees
Element x y z (fractional)
Sm: 0.0785 0.7438 0.4749
Sm: 0.3377 0.2647 0.4349
Sm: 0.1702 0.7353 0.0730
Sm: 0.5251 0.6036 0.2689
Sm: 0.6653 0.3964 0.9215
Sm: 0.5651 0.9028 0.8298
Sm: 0.7311 0.2562 0.3347
Sm: 0.9270 0.0972 0.6623
Nd: 0.2878 0.1036 0.9694
Nd: 0.5000 0.0000 0.5000
Nd: 0.8157 0.6815 0.7122
Nd: 0.0306 0.3185 0.1342
Nd: 0.8658 0.8964 0.1843
Ho: 0.2500 0.5000 0.7500

Summary:
space group = I-4
calculated formation energy = 0.239 eV/atom
N(E_F) = 1.436 states/eV per atom



No. 5
The following is a DFT calculation (GGA-PBE) of a relaxed MgScPaIn crystal.

Cell lengths 5.1745, 5.1745, 5.1745 Å; angles 60.00, 60.00, 60.00 degrees
Last column: magnetic moment on the atom in μB.
Element x y z (fractional)
Pa: 0.7500 0.7500 0.7500  0.74
Sc: 0.2500 0.2500 0.2500  0.12
Mg: 0.0000 0.0000 0.0000  0.01
In: 0.5000 0.5000 0.5000  0.00

Summary:
space group = F-43m
calculated formation energy = 0.086 eV/atom
N(E_F) = 1.858 states/eV per atom



No. 6
The following is a DFT calculation (GGA-PBE) of a relaxed AlCd2Ge2Rh5 crystal.

Cell lengths 3.2561, 9.8912, 9.8912 Å; angles 90.00, 90.00, 90.00 degrees
Element x y z (fractional)
Ge: 0.0000 0.1315 0.6315
Ge: 0.0000 0.3685 0.1315
Ge: 0.0000 0.8685 0.3685
Ge: 0.0000 0.6315 0.8685
Al: 0.0000 0.0000 0.0000
Al: 0.0000 0.5000 0.5000
Cd: 0.0000 0.3288 0.8288
Cd: 0.0000 0.6712 0.1712
Cd: 0.0000 0.8288 0.6712
Cd: 0.0000 0.1712 0.3288
Rh: 0.5000 0.4269 0.3056
Rh: 0.5000 0.6944 0.4269
Rh: 0.5000 0.8056 0.9269
Rh: 0.5000 0.0731 0.8056
Rh: 0.5000 0.5731 0.6944
Rh: 0.5000 0.0000 0.5000
Rh: 0.5000 0.3056 0.5731
Rh: 0.5000 0.9269 0.1944
Rh: 0.5000 0.5000 0.0000
Rh: 0.5000 0.1944 0.0731

Summary:
space group = P4/mbm
calculated formation energy = -0.400 eV/atom
N(E_F) = 0.340 states/eV per atom



no.,DFT total energy (eV per cell)
1,-11.0
2,-31.2
3,-27.4
4,-62.8
5,-19.8
6,-111.1